Computed, not measured: crystalline Ac7Nd3Dy at its relaxed geometry at the PBE level of DFT.

The structure in CIF format:
```
data_Ac7Nd3Dy
_chemical_formula_sum 'Ac14 Nd6 Dy2'
_space_group_name_H-M_alt 'C 1 2/m 1'
_space_group_IT_number 12
_cell_length_a 12.307
_cell_length_b 11.184
_cell_length_c 6.936
_cell_angle_alpha 90.00
_cell_angle_beta 96.40
_cell_angle_gamma 90.00
loop_
_space_group_symop_operation_xyz
'x,y,z'
'-x,-y,-z'
'-x,y,-z'
'x,-y,z'
'x+1/2,y+1/2,z'
'-x+1/2,-y+1/2,-z'
'-x+1/2,y+1/2,-z'
'x+1/2,-y+1/2,z'
loop_
_atom_site_label
_atom_site_type_symbol
_atom_site_fract_x
_atom_site_fract_y
_atom_site_fract_z
Ac1 Ac 0.000 0.000 0.000
Ac2 Ac 0.238 0.500 0.228
Ac3 Ac 0.250 0.171 0.260
Nd1 Nd 0.000 0.337 0.000
Nd2 Nd 0.000 0.500 0.500
Dy1 Dy 0.000 0.000 0.500
```

Its calculated total energy is -89.51 eV/cell. Its formation energy is 0.265 eV per atom. Its density is 7.646 g cm⁻³.